# PuHfIn2 PBE relaxed
data_PuHfIn2
_chemical_formula_sum 'Pu4 Hf4 In8'
_symmetry_space_group_name_H-M 'F m -3 m'
_symmetry_Int_Tables_number 225
_symmetry_space_group_name_Hall '-F 4 2 3'
_cell_length_a 7.2926
_cell_length_b 7.2926
_cell_length_c 7.2926
_cell_angle_alpha 90.00
_cell_angle_beta 90.00
_cell_angle_gamma 90.00
loop_
_atom_site_label
_atom_site_type_symbol
_atom_site_fract_x
_atom_site_fract_y
_atom_site_fract_z
Pu1 Pu 0.0000 0.0000 0.0000
Hf1 Hf 0.0000 0.0000 0.5000
In1 In 0.2500 0.2500 0.2500
# Final energy, eV for the cell shown: -119.48
# Total magnetic moment, μB per formula unit: 6.12
# Formation enthalpy at 0 K, eV/atom: -0.027
# Relative energy among the computed polymorphs, eV/atom: 0.1425

# K3TcC PBE relaxed
data_K3TcC
_chemical_formula_sum 'K3 Tc1 C1'
_symmetry_space_group_name_H-M 'P m -3 m'
_symmetry_Int_Tables_number 221
_symmetry_space_group_name_Hall '-P 4 2 3'
_cell_length_a 5.7649
_cell_length_b 5.7649
_cell_length_c 5.7649
_cell_angle_alpha 90.00
_cell_angle_beta 90.00
_cell_angle_gamma 90.00
loop_
_atom_site_label
_atom_site_type_symbol
_atom_site_fract_x
_atom_site_fract_y
_atom_site_fract_z
K1 K 0.0000 0.0000 0.5000
Tc1 Tc 0.5000 0.5000 0.5000
C1 C 0.0000 0.0000 0.0000
# Final energy, eV for the cell shown: -13.91
# Total magnetic moment, μB per formula unit: 6.00
# Formation enthalpy at 0 K, eV/atom: 1.794
# Relative energy among the computed polymorphs, eV/atom: 0.0000

# AlZnCdMo2 PBE relaxed
data_AlZnCdMo2
_chemical_formula_sum 'Al1 Zn1 Cd1 Mo2'
_symmetry_space_group_name_H-M 'P 4/m m m'
_symmetry_Int_Tables_number 123
_symmetry_space_group_name_Hall '-P 4 2'
_cell_length_a 5.1038
_cell_length_b 5.1038
_cell_length_c 4.6795
_cell_angle_alpha 90.00
_cell_angle_beta 90.00
_cell_angle_gamma 90.00
loop_
_atom_site_label
_atom_site_type_symbol
_atom_site_fract_x
_atom_site_fract_y
_atom_site_fract_z
Al1 Al 0.0000 0.0000 0.0000
Zn1 Zn 0.5000 0.5000 0.0000
Cd1 Cd 0.0000 0.0000 0.5000
Mo1 Mo 0.0000 0.5000 0.5000
# Final energy, eV for the cell shown: -17.76
# Total magnetic moment, μB per formula unit: 5.02
# Formation enthalpy at 0 K, eV/atom: 1.966

# CaLaPH2 PBE relaxed
data_CaLaPH2
_chemical_formula_sum 'Ca4 La4 P4 H8'
_symmetry_space_group_name_H-M 'C m c m'
_symmetry_Int_Tables_number 63
_symmetry_space_group_name_Hall '-C 2c 2'
_cell_length_a 4.0140
_cell_length_b 11.9926
_cell_length_c 7.3227
_cell_angle_alpha 90.00
_cell_angle_beta 90.00
_cell_angle_gamma 90.00
loop_
_atom_site_label
_atom_site_type_symbol
_atom_site_fract_x
_atom_site_fract_y
_atom_site_fract_z
Ca1 Ca 0.0000 0.0000 0.0000
La1 La 0.0000 0.2634 0.2500
P1 P 0.0000 0.4260 0.7500
H1 H 0.0000 0.1867 0.5713
# Final energy, eV for the cell shown: -94.70
# Total magnetic moment, μB per formula unit: 0.00

# SrY3Ru PBE relaxed
data_SrY3Ru
_chemical_formula_sum 'Sr1 Y3 Ru1'
_symmetry_space_group_name_H-M 'P m -3 m'
_symmetry_Int_Tables_number 221
_symmetry_space_group_name_Hall '-P 4 2 3'
_cell_length_a 5.3034
_cell_length_b 5.3034
_cell_length_c 5.3034
_cell_angle_alpha 90.00
_cell_angle_beta 90.00
_cell_angle_gamma 90.00
loop_
_atom_site_label
_atom_site_type_symbol
_atom_site_fract_x
_atom_site_fract_y
_atom_site_fract_z
Sr1 Sr 0.0000 0.0000 0.0000
Y1 Y 0.0000 0.0000 0.5000
Ru1 Ru 0.5000 0.5000 0.5000
# Final energy, eV for the cell shown: -21.26
# Total magnetic moment, μB per formula unit: 0.00
# Formation enthalpy at 0 K, eV/atom: 1.818
# Relative energy among the computed polymorphs, eV/atom: 1.9950

# K4Tm3USe8 PBE relaxed
data_K4Tm3USe8
_chemical_formula_sum 'K12 Tm9 U3 Se24'
_symmetry_space_group_name_H-M 'R -3 m'
_symmetry_Int_Tables_number 166
_symmetry_space_group_name_Hall '-R 3 2"'
_cell_length_a 8.3758
_cell_length_b 8.3758
_cell_length_c 23.0527
_cell_angle_alpha 90.00
_cell_angle_beta 90.00
_cell_angle_gamma 120.00
loop_
_atom_site_label
_atom_site_type_symbol
_atom_site_fract_x
_atom_site_fract_y
_atom_site_fract_z
K1 K 0.0000 0.0000 0.0000
K2 K 0.0000 0.5000 0.0000
Tm1 Tm 0.0000 0.5000 0.5000
U1 U 0.0000 0.0000 0.5000
Se1 Se 0.0000 0.0000 0.2341
Se2 Se 0.0056 0.5028 0.7651
# Formation energy without anion corrections, eV/atom: -1.60
# Final energy, eV for the cell shown: -247.91
# Total magnetic moment, μB per formula unit: 3.01

# CaSm2Th3Bi6 PBE relaxed
data_CaSm2Th3Bi6
_chemical_formula_sum 'Ca2 Sm4 Th6 Bi12'
_symmetry_space_group_name_H-M 'C 1 2/m 1'
_symmetry_Int_Tables_number 12
_symmetry_space_group_name_Hall '-C 2y'
_cell_length_a 19.9808
_cell_length_b 4.5929
_cell_length_c 9.1637
_cell_angle_alpha 90.00
_cell_angle_beta 102.96
_cell_angle_gamma 90.00
loop_
_atom_site_label
_atom_site_type_symbol
_atom_site_fract_x
_atom_site_fract_y
_atom_site_fract_z
Ca1 Ca 0.0000 0.0000 0.0000
Sm1 Sm 0.1664 0.5000 0.3336
Th1 Th 0.0000 0.0000 0.5000
Th2 Th 0.1655 0.5000 0.8332
Bi1 Bi 0.0007 0.5000 0.2495
Bi2 Bi 0.1668 0.0000 0.0851
Bi3 Bi 0.1674 0.0000 0.5820
# Final energy, eV for the cell shown: -132.04
# Total magnetic moment, μB per formula unit: 0.00
# Formation enthalpy at 0 K, eV/atom: -0.753

# Ac12Pm7Nd PBE relaxed
data_Ac12Pm7Nd
_chemical_formula_sum 'Ac36 Pm21 Nd3'
_symmetry_space_group_name_H-M 'R -3 m'
_symmetry_Int_Tables_number 166
_symmetry_space_group_name_Hall '-R 3 2"'
_cell_length_a 20.8506
_cell_length_b 20.8506
_cell_length_c 6.6832
_cell_angle_alpha 90.00
_cell_angle_beta 90.00
_cell_angle_gamma 120.00
loop_
_atom_site_label
_atom_site_type_symbol
_atom_site_fract_x
_atom_site_fract_y
_atom_site_fract_z
Ac1 Ac 0.0000 0.4123 0.0000
Ac2 Ac 0.1022 0.5511 0.4830
Pm1 Pm 0.0000 0.0000 0.0000
Pm2 Pm 0.0813 0.1625 0.3085
Nd1 Nd 0.0000 0.0000 0.5000
# Final energy, eV for the cell shown: -250.17
# Total magnetic moment, μB per formula unit: 0.00
# Formation enthalpy at 0 K, eV/atom: 0.197
# Relative energy among the computed polymorphs, eV/atom: 0.0000

# Li3Ca2CdAg12 PBE relaxed
data_Li3Ca2CdAg12
_chemical_formula_sum 'Li9 Ca6 Cd3 Ag36'
_symmetry_space_group_name_H-M 'R -3 m'
_symmetry_Int_Tables_number 166
_symmetry_space_group_name_Hall '-R 3 2"'
_cell_length_a 6.6134
_cell_length_b 6.6134
_cell_length_c 31.0269
_cell_angle_alpha 90.00
_cell_angle_beta 90.00
_cell_angle_gamma 120.00
loop_
_atom_site_label
_atom_site_type_symbol
_atom_site_fract_x
_atom_site_fract_y
_atom_site_fract_z
Li1 Li 0.0000 0.5000 0.0000
Ca1 Ca 0.0000 0.0000 0.1385
Cd1 Cd 0.0000 0.0000 0.5000
Ag1 Ag 0.0287 0.5144 0.8945
Ag2 Ag 0.0581 0.5290 0.6226
# Final energy, eV for the cell shown: -133.74
# Total magnetic moment, μB per formula unit: 0.00
# Formation enthalpy at 0 K, eV/atom: 0.016

# SrZrAg2 PBE relaxed
data_SrZrAg2
_chemical_formula_sum 'Sr3 Zr3 Ag6'
_symmetry_space_group_name_H-M 'R -3 m'
_symmetry_Int_Tables_number 166
_symmetry_space_group_name_Hall '-R 3 2"'
_cell_length_a 4.8670
_cell_length_b 4.8670
_cell_length_c 16.1213
_cell_angle_alpha 90.00
_cell_angle_beta 90.00
_cell_angle_gamma 120.00
loop_
_atom_site_label
_atom_site_type_symbol
_atom_site_fract_x
_atom_site_fract_y
_atom_site_fract_z
Sr1 Sr 0.0000 0.0000 0.0000
Zr1 Zr 0.0000 0.0000 0.5000
Ag1 Ag 0.0000 0.0000 0.2007
# Final energy, eV for the cell shown: -47.11
# Total magnetic moment, μB per formula unit: 0.00
# Formation enthalpy at 0 K, eV/atom: 0.057
# Relative energy among the computed polymorphs, eV/atom: 0.1051

# CaPt2 PBE relaxed
data_CaPt2
_chemical_formula_sum 'Ca4 Pt8'
_symmetry_space_group_name_H-M 'P 1 2/m 1'
_symmetry_Int_Tables_number 10
_symmetry_space_group_name_Hall '-P 2y'
_cell_length_a 8.8353
_cell_length_b 2.9551
_cell_length_c 9.0080
_cell_angle_alpha 90.00
_cell_angle_beta 105.36
_cell_angle_gamma 90.00
loop_
_atom_site_label
_atom_site_type_symbol
_atom_site_fract_x
_atom_site_fract_y
_atom_site_fract_z
Ca1 Ca 0.0426 0.0000 0.2214
Ca2 Ca 0.3354 0.5000 0.5279
Pt1 Pt 0.0000 0.5000 0.5000
Pt2 Pt 0.1863 0.5000 0.0177
Pt3 Pt 0.2853 0.0000 0.7860
Pt4 Pt 0.3990 0.0000 0.2525
Pt5 Pt 0.5000 0.5000 0.0000
# Final energy, eV for the cell shown: -61.11
# Total magnetic moment, μB per formula unit: 0.00
# Formation enthalpy at 0 K, eV/atom: -0.398

# TlIr2Pt2 PBE relaxed
data_TlIr2Pt2
_chemical_formula_sum 'Tl2 Ir4 Pt4'
_symmetry_space_group_name_H-M 'P 4/m b m'
_symmetry_Int_Tables_number 127
_symmetry_space_group_name_Hall '-P 4 2ab'
_cell_length_a 8.0094
_cell_length_b 8.0094
_cell_length_c 2.7552
_cell_angle_alpha 90.00
_cell_angle_beta 90.00
_cell_angle_gamma 90.00
loop_
_atom_site_label
_atom_site_type_symbol
_atom_site_fract_x
_atom_site_fract_y
_atom_site_fract_z
Tl1 Tl 0.0000 0.0000 0.0000
Ir1 Ir 0.1174 0.3826 0.5000
Pt1 Pt 0.1799 0.6799 0.0000
# Final energy, eV for the cell shown: -60.88
# Total magnetic moment, μB per formula unit: 0.00
# Formation enthalpy at 0 K, eV/atom: 0.346
# Relative energy among the computed polymorphs, eV/atom: 0.0000